Compound: MnTl2ZnMo
Source: Alexandria via LeMat-Bulk
Functional: GGA-PBEsol
Structure: optimized geometry

Values from the calculation:
calculated volume: 22.1 A^3/atom
total moment: 0.87 μB per formula unit
electronic total energy: -0.1721 hartree per atom

Cell: 5.066 5.066 4.302 Å, 90.00 90.00 90.00°
Positions (direct):
Mn: 0.000 0.000 0.000
Tl: 0.000 0.500 0.000
Tl: 0.500 0.000 0.000
Zn: 0.500 0.500 0.500
Mo: 0.000 0.000 0.500



Compound: BaHfHg2
Source: Alexandria via LeMat-Bulk
Functional: GGA-PBEsol
Structure: optimized geometry

Values from the calculation:
calculated volume: 26.7 A^3/atom
total moment: 0.84 μB per formula unit
electronic total energy: -0.1233 hartree per atom

Cell: 5.324 5.324 5.324 Å, 60.00 60.00 60.00°
Positions (direct):
Ba: 0.000 0.000 0.000
Hf: 0.500 0.500 0.500
Hg: 0.250 0.250 0.250
Hg: 0.750 0.750 0.750



Compound: Ti3Sn
Source: Alexandria via LeMat-Bulk
Functional: GGA-PBEsol
Structure: optimized geometry

Values from the calculation:
calculated volume: 17.3 A^3/atom
total moment: 0.00 μB per formula unit
electronic total energy: -0.2796 hartree per atom

Cell: 4.105 4.105 4.105 Å, 90.00 90.00 90.00°
Positions (direct):
Ti: 0.000 0.000 0.500
Ti: 0.000 0.500 0.000
Ti: 0.500 0.000 0.000
Sn: 0.500 0.500 0.500



Compound: Ag8As
Source: Alexandria via LeMat-Bulk
Functional: GGA-PBEsol
Structure: optimized geometry

Values from the calculation:
calculated volume: 16.7 A^3/atom
total moment: 0.00 μB per formula unit
electronic total energy: -0.1277 hartree per atom

Cell: 6.401 6.401 6.401 Å, 95.88 95.88 142.65°
Positions (direct):
Ag: 0.000 0.334 0.334
Ag: 0.000 0.666 0.666
Ag: 0.333 0.333 0.666
Ag: 0.333 0.667 0.000
Ag: 0.334 0.000 0.334
Ag: 0.666 0.000 0.666
Ag: 0.667 0.333 0.000
Ag: 0.667 0.667 0.334
As: 0.000 0.000 0.000



Look up the calculated volume of the first one. 22.1 A^3/atom